(1)
This record from Alexandria via LeMat-Bulk describes an optimized crystal structure of ErCd14In. The functional is PBE.

Properties
Total energy   -1.29 eV per atom
DOS at the Fermi energy   6.53 states/eV/cell
Crystal system   tetragonal
Calculated density   8.25 g/cm³

Cell: 6.5854 6.5854 8.6174 Å, 90.00 90.00 90.00°
With the nearest neighbours (Å) after each atom.
Element x y z (fractional)
Er: 0.8750 0.8750 0.5000  12 Cd 3.21-3.29
Cd: 0.8750 0.8750 0.0000  12 Cd 3.12-3.29
Cd: 0.3750 0.3750 0.0000  12 Cd 3.14-3.29
Cd: 0.8750 0.3750 0.5000  8 Cd 3.21-3.22, 2 In 3.29, 2 Er 3.29
Cd: 0.8750 0.3750 0.0000  12 Cd 3.13-3.29
Cd: 0.3750 0.8750 0.5000  8 Cd 3.21-3.22, 2 In 3.29, 2 Er 3.29
Cd: 0.3750 0.8750 0.0000  12 Cd 3.13-3.29
Cd: 0.6258 0.1242 0.2427  10 Cd 3.12-3.30, 1 Er 3.21, 1 In 3.22
Cd: 0.6258 0.1242 0.7573  10 Cd 3.12-3.30, 1 Er 3.21, 1 In 3.22
Cd: 0.1242 0.6258 0.2427  10 Cd 3.12-3.30, 1 Er 3.21, 1 In 3.22
Cd: 0.1242 0.6258 0.7573  10 Cd 3.12-3.30, 1 Er 3.21, 1 In 3.22
Cd: 0.6258 0.6258 0.2427  10 Cd 3.12-3.30, 1 Er 3.21, 1 In 3.22
Cd: 0.6258 0.6258 0.7573  10 Cd 3.12-3.30, 1 Er 3.21, 1 In 3.22
Cd: 0.1242 0.1242 0.2427  10 Cd 3.12-3.30, 1 Er 3.21, 1 In 3.22
Cd: 0.1242 0.1242 0.7573  10 Cd 3.12-3.30, 1 Er 3.21, 1 In 3.22
In: 0.3750 0.3750 0.5000  12 Cd 3.22-3.29


(2)
This record from Alexandria via LeMat-Bulk describes an optimized crystal structure of Zn2CdTc. The functional is PBE.

Properties
Total energy   -3.29 eV per atom
DOS at the Fermi energy   2.19 states/eV/cell
Crystal system   monoclinic
Calculated density   8.82 g/cm³

Cell: 4.0162 2.7481 6.4525 Å, 64.44 90.00 90.00°
With the nearest neighbours (Å) after each atom.
Element x y z (fractional)
Cd: 0.5000 0.2500 0.2500  2 Cd 2.75, 2 Tc 2.91, 8 Zn 2.92-2.94
Tc: 0.5000 0.7500 0.7500  8 Zn 2.75, 2 Tc 2.75, 2 Cd 2.91
Zn: 0.0000 0.0288 0.9690  3 Zn 2.55-2.75, 4 Tc 2.75
Zn: 0.0000 0.4712 0.5310  3 Zn 2.55-2.75, 4 Tc 2.75


(3)
This record from Alexandria via LeMat-Bulk describes an optimized crystal structure of Pm9Nd11Sm4. The functional is PBE.

Properties
Total energy   -4.69 eV per atom
DOS at the Fermi energy   32.86 states/eV/cell
Crystal system   orthorhombic
Calculated density   6.90 g/cm³

Cell: 3.7312 15.6767 15.6767 Å, 113.47 90.00 90.00°
With the nearest neighbours (Å) after each atom.
Element x y z (fractional)
Pm: 0.5000 0.6304 0.1645  3 Pm 3.53-3.73, 1 Sm 3.58, 8 Nd 3.59-3.79
Pm: 0.5000 0.3696 0.8355  3 Pm 3.53-3.73, 1 Sm 3.58, 8 Nd 3.59-3.79
Pm: 0.5000 0.1645 0.6304  3 Pm 3.53-3.73, 1 Sm 3.58, 8 Nd 3.59-3.79
Pm: 0.5000 0.8355 0.3696  3 Pm 3.53-3.73, 1 Sm 3.58, 8 Nd 3.59-3.79
Pm: 0.5000 0.7885 0.9368  8 Nd 3.58-3.79, 1 Sm 3.59, 3 Pm 3.73-3.89
Pm: 0.5000 0.2115 0.0632  8 Nd 3.58-3.79, 1 Sm 3.59, 3 Pm 3.73-3.89
Pm: 0.5000 0.9368 0.7885  8 Nd 3.58-3.79, 1 Sm 3.59, 3 Pm 3.73-3.89
Pm: 0.5000 0.0632 0.2115  8 Nd 3.58-3.79, 1 Sm 3.59, 3 Pm 3.73-3.89
Pm: 0.5000 0.5000 0.5000  2 Pm 3.73, 4 Sm 3.79, 8 Nd 3.92-4.08
Nd: 0.0000 0.5963 0.9578  2 Sm 3.47, 6 Pm 3.59-3.79, 4 Nd 3.73-3.87
Nd: 0.0000 0.4037 0.0422  2 Sm 3.47, 6 Pm 3.59-3.79, 4 Nd 3.73-3.87
Nd: 0.0000 0.9578 0.5963  2 Sm 3.47, 6 Pm 3.59-3.79, 4 Nd 3.73-3.87
Nd: 0.0000 0.0422 0.4037  2 Sm 3.47, 6 Pm 3.59-3.79, 4 Nd 3.73-3.87
Nd: 0.0000 0.6315 0.3685  4 Sm 3.39, 4 Pm 3.70, 2 Nd 3.73
Nd: 0.0000 0.3685 0.6315  4 Sm 3.39, 4 Pm 3.70, 2 Nd 3.73
Nd: 0.0000 0.8381 0.1619  4 Nd 3.73-3.87, 8 Pm 3.77-3.79
Nd: 0.0000 0.1619 0.8381  4 Nd 3.73-3.87, 8 Pm 3.77-3.79
Nd: 0.0000 0.0000 0.0000  8 Pm 3.58, 2 Nd 3.73
Nd: 0.0000 0.7108 0.7108  4 Sm 3.37, 2 Nd 3.73, 4 Pm 3.75
Nd: 0.0000 0.2892 0.2892  4 Sm 3.37, 2 Nd 3.73, 4 Pm 3.75
Sm: 0.5000 0.5566 0.7589  6 Nd 3.37-3.47, 2 Pm 3.58-3.59, 2 Sm 3.73
Sm: 0.5000 0.4434 0.2411  6 Nd 3.37-3.47, 2 Pm 3.58-3.59, 2 Sm 3.73
Sm: 0.5000 0.7589 0.5566  6 Nd 3.37-3.47, 2 Pm 3.58-3.59, 2 Sm 3.73
Sm: 0.5000 0.2411 0.4434  6 Nd 3.37-3.47, 2 Pm 3.58-3.59, 2 Sm 3.73


(4)
This record from Alexandria via LeMat-Bulk describes an optimized crystal structure of Tb5Tl4Pd. The functional is PBE.

Properties
Total energy   -4.25 eV per atom
DOS at the Fermi energy   5.55 states/eV/cell
Crystal system   tetragonal
Calculated density   10.81 g/cm³

Cell: 3.5870 3.5870 20.5088 Å, 90.00 90.00 90.00°
With the nearest neighbours (Å) after each atom.
Element x y z (fractional)
Tb: 0.5000 0.5000 0.0836  4 Pd 3.06, 4 Tl 3.33
Tb: 0.5000 0.5000 0.2918  8 Tl 3.30-3.32, 4 Tb 3.59
Tb: 0.5000 0.5000 0.5000  8 Tl 3.31, 4 Tb 3.59
Tb: 0.5000 0.5000 0.7082  8 Tl 3.30-3.32, 4 Tb 3.59
Tb: 0.5000 0.5000 0.9164  4 Pd 3.06, 4 Tl 3.33
Tl: 0.0000 0.0000 0.1887  8 Tb 3.30-3.33, 4 Tl 3.59
Tl: 0.0000 0.0000 0.3962  8 Tb 3.31-3.32, 4 Tl 3.59
Tl: 0.0000 0.0000 0.6038  8 Tb 3.31-3.32, 4 Tl 3.59
Tl: 0.0000 0.0000 0.8113  8 Tb 3.30-3.33, 4 Tl 3.59
Pd: 0.0000 0.0000 0.0000  8 Tb 3.06


(5)
This record from Alexandria via LeMat-Bulk describes an optimized crystal structure of K2PaMnTe4. The functional is PBE.

Properties
DOS at the Fermi energy   5.99 states/eV/cell
Formation energy from raw total energies   -6.1 eV/f.u.
Crystal system   monoclinic
Calculated density   5.22 g/cm³

Cell: 4.4068 7.6682 8.6260 Å, 107.53 90.00 90.00°
With the nearest neighbours (Å) after each atom.
Element x y z (fractional)
K: 0.5000 0.0000 0.5000  6 Te 3.47-3.55
K: 0.0000 0.5000 0.5000  6 Te 3.53-3.62
Pa: 0.5000 0.5000 0.0000  6 Te 3.08-3.09
Mn: 0.0000 0.0000 0.0000  6 Te 2.96-3.06
Te: 0.5000 0.2194 0.1916  2 Mn 2.96, 1 Pa 3.08
Te: 0.5000 0.7806 0.8084  2 Mn 2.96, 1 Pa 3.08
Te: 0.0000 0.2576 0.7895  1 Mn 3.06, 2 Pa 3.09
Te: 0.0000 0.7424 0.2105  1 Mn 3.06, 2 Pa 3.09


(6)
This record from Alexandria via LeMat-Bulk describes an optimized crystal structure of Tb3Pm3In2. The functional is PBE.

Properties
ΔE to the lowest computed polymorph   0.000 eV per atom
DOS at the Fermi energy   13.37 states/eV/cell
Crystal system   orthorhombic
Calculated density   8.00 g/cm³

Cell: 4.9309 4.9091 9.7844 Å, 90.00 90.00 90.00°
With the nearest neighbours (Å) after each atom.
Element x y z (fractional)
Tb: 0.5000 0.0000 0.5000  4 In 3.45, 4 Pm 3.47, 4 Tb 3.48
Tb: 0.0000 0.5000 0.0000  8 Pm 3.47-3.48, 4 In 3.49
Tb: 0.0000 0.5000 0.5000  4 In 3.44, 4 Pm 3.47, 4 Tb 3.48
Pm: 0.5000 0.5000 0.7500  2 Pm 3.47, 6 Tb 3.47, 4 In 3.48
Pm: 0.5000 0.5000 0.2500  2 Pm 3.47, 6 Tb 3.47, 4 In 3.48
Pm: 0.5000 0.0000 0.0000  4 Pm 3.47, 4 Tb 3.48, 4 In 3.49
In: 0.0000 0.0000 0.7468  6 Tb 3.44-3.49, 6 Pm 3.48-3.49
In: 0.0000 0.0000 0.2532  6 Tb 3.44-3.49, 6 Pm 3.48-3.49


(7)
This record from Alexandria via LeMat-Bulk describes an optimized crystal structure of Y3TiTl3Te8. The functional is PBE.

Properties
DOS at the Fermi energy   1.24 states/eV/cell
Formation energy from raw total energies   -14.3 eV/f.u.
Crystal system   trigonal
Calculated density   6.03 g/cm³

Cell: 8.6545 8.6513 9.6708 Å, 116.56 90.00 120.01°
With the nearest neighbours (Å) after each atom.
Element x y z (fractional)
Y: 0.5000 0.0000 0.5000  6 Te 3.07-3.09
Y: 0.5000 0.5000 0.5000  6 Te 3.07-3.09
Y: 0.0000 0.5000 0.5000  6 Te 3.07-3.09
Ti: 0.0000 0.0000 0.5000  6 Te 2.86
Tl: 0.0000 0.0000 0.0000  6 Te 3.43-3.45
Tl: 0.0000 0.5000 0.0000  6 Te 3.43-3.45
Tl: 0.5000 0.5000 0.0000  6 Te 3.43-3.45
Te: 0.2612 0.5224 0.2837  3 Y 3.07, 3 Tl 3.43
Te: 0.7388 0.4776 0.7163  3 Y 3.07, 3 Tl 3.43
Te: 0.7780 0.5560 0.2973  1 Ti 2.86, 2 Y 3.09
Te: 0.2220 0.4440 0.7027  1 Ti 2.86, 2 Y 3.09
Te: 0.7780 0.0193 0.2973  1 Ti 2.86, 2 Y 3.09
Te: 0.2220 0.9807 0.7027  1 Ti 2.86, 2 Y 3.09
Te: 0.2413 0.0193 0.2973  1 Ti 2.86, 2 Y 3.09
Te: 0.7587 0.9807 0.7027  1 Ti 2.86, 2 Y 3.09


(8)
This record from Alexandria via LeMat-Bulk describes an optimized crystal structure of CaReMo. The functional is PBE.

Properties
ΔE to the lowest computed polymorph   1.953 eV per atom
DOS at the Fermi energy   1.85 states/eV/cell
Crystal system   cubic
Calculated density   7.97 g/cm³

Cell: 4.5626 4.5626 4.5626 Å, 60.00 60.00 60.00°
With the nearest neighbours (Å) after each atom.
Element x y z (fractional)
Re: 0.5000 0.5000 0.5000  4 Ca 2.79
Mo: 0.0000 0.0000 0.0000  4 Ca 2.79
Ca: 0.7500 0.7500 0.7500  4 Mo 2.79, 4 Re 2.79


Q: Which of these has the highest calculated density?
A: Tb5Tl4Pd